Version P
Here is an optimized crystal structure of ThRuC2 from Alexandria via LeMat-Bulk. Energies are from PBE.

The structure in CIF format:
```
data_ThRuC2
_symmetry_space_group_name_H-M 'A m m 2'
_symmetry_Int_Tables_number 38
_symmetry_space_group_name_Hall 'A 2 -2'
_cell_length_a 3.724
_cell_length_b 4.687
_cell_length_c 6.686
_cell_angle_alpha 90.00
_cell_angle_beta 90.00
_cell_angle_gamma 90.00
loop_
_atom_site_label
_atom_site_type_symbol
_atom_site_fract_x
_atom_site_fract_y
_atom_site_fract_z
Th1 Th 0.000 0.000 0.000
Ru1 Ru 0.500 0.000 0.385
C1 C 0.500 0.148 0.691
```

## Properties
Its calculated volume is 117 Å³ per cell. The size of the total moment comes out at 0.00 Bohr magnetons per cell.

---

Version Q
Here is an optimized crystal structure of ThRuC2 from Alexandria via LeMat-Bulk. Energies are from PBE.

The structure in CIF format:
```
data_ThRuC2
_symmetry_space_group_name_H-M 'R -3 m'
_symmetry_Int_Tables_number 166
_symmetry_space_group_name_Hall '-R 3 2"'
_cell_length_a 3.4589
_cell_length_b 3.4589
_cell_length_c 15.6730
_cell_angle_alpha 90.00
_cell_angle_beta 90.00
_cell_angle_gamma 120.00
loop_
_atom_site_label
_atom_site_type_symbol
_atom_site_fract_x
_atom_site_fract_y
_atom_site_fract_z
Th1 Th 0.0000 0.0000 0.0000
Ru1 Ru 0.0000 0.0000 0.5000
C1 C 0.0000 0.0000 0.2295
```

## Properties
Its calculated volume is 162 Å³ per cell. The size of the total moment comes out at 0.00 Bohr magnetons per cell.

---

Short version: version P is the most stable of them.

---

Version P
Here is an optimized crystal structure of ThRu2C from Alexandria via LeMat-Bulk. Energies are from PBE.

The structure in CIF format:
```
data_ThRu2C
_symmetry_space_group_name_H-M 'R -3 m'
_symmetry_Int_Tables_number 166
_symmetry_space_group_name_Hall '-R 3 2"'
_cell_length_a 3.7908
_cell_length_b 3.7908
_cell_length_c 15.8388
_cell_angle_alpha 90.00
_cell_angle_beta 90.00
_cell_angle_gamma 120.00
loop_
_atom_site_label
_atom_site_type_symbol
_atom_site_fract_x
_atom_site_fract_y
_atom_site_fract_z
Th1 Th 0.0000 0.0000 0.0000
Ru1 Ru 0.0000 0.0000 0.2090
C1 C 0.0000 0.0000 0.5000
```

## Properties
Its calculated volume is 197 Å³ per cell. The size of the total moment comes out at 0.00 Bohr magnetons per cell.

---

Version Q
Here is an optimized crystal structure of ThRu2C from Alexandria via LeMat-Bulk. Energies are from PBE.

The structure in CIF format:
```
data_ThRu2C
_symmetry_space_group_name_H-M 'C m m m'
_symmetry_Int_Tables_number 65
_symmetry_space_group_name_Hall '-C 2 2'
_cell_length_a 5.085
_cell_length_b 7.921
_cell_length_c 3.297
_cell_angle_alpha 90.00
_cell_angle_beta 90.00
_cell_angle_gamma 90.00
loop_
_atom_site_label
_atom_site_type_symbol
_atom_site_fract_x
_atom_site_fract_y
_atom_site_fract_z
Th1 Th 0.000 0.000 0.000
Ru1 Ru 0.000 0.340 0.500
C1 C 0.000 0.500 0.000
```

## Properties
Its calculated volume is 133 Å³ per cell. The size of the total moment comes out at 0.00 Bohr magnetons per cell.

---

Short version: version Q is the most stable of them.

---

Version P
Here is an optimized crystal structure of TiRu2C2 from Alexandria via LeMat-Bulk. Energies are from PBE.

The structure in CIF format:
```
data_TiRu2C2
_symmetry_space_group_name_H-M 'I 4/m m m'
_symmetry_Int_Tables_number 139
_symmetry_space_group_name_Hall '-I 4 2'
_cell_length_a 3.740
_cell_length_b 3.740
_cell_length_c 8.364
_cell_angle_alpha 90.00
_cell_angle_beta 90.00
_cell_angle_gamma 90.00
loop_
_atom_site_label
_atom_site_type_symbol
_atom_site_fract_x
_atom_site_fract_y
_atom_site_fract_z
Ti1 Ti 0.000 0.000 0.000
Ru1 Ru 0.000 0.000 0.351
C1 C 0.000 0.500 0.250
```

## Properties
Its calculated volume is 117 Å³ per cell. The size of the total moment comes out at 0.00 Bohr magnetons per cell.

---

Version Q
Here is an optimized crystal structure of TiRu2C2 from Alexandria via LeMat-Bulk. Energies are from PBE.

The structure in CIF format:
```
data_TiRu2C2
_symmetry_space_group_name_H-M 'P 4/m b m'
_symmetry_Int_Tables_number 127
_symmetry_space_group_name_Hall '-P 4 2ab'
_cell_length_a 6.409
_cell_length_b 6.409
_cell_length_c 2.723
_cell_angle_alpha 90.00
_cell_angle_beta 90.00
_cell_angle_gamma 90.00
loop_
_atom_site_label
_atom_site_type_symbol
_atom_site_fract_x
_atom_site_fract_y
_atom_site_fract_z
Ti1 Ti 0.000 0.000 0.000
Ru1 Ru 0.145 0.355 0.000
C1 C 0.176 0.676 0.500
```

## Properties
Its calculated volume is 112 Å³ per cell. The size of the total moment comes out at 0.00 Bohr magnetons per cell.

---

Short version: version P is the most stable of them.

---

Version P
Here is an optimized crystal structure of TlRuC2 from Alexandria via LeMat-Bulk. Energies are from PBE.

The structure in CIF format:
```
data_TlRuC2
_symmetry_space_group_name_H-M 'I -4 2 d'
_symmetry_Int_Tables_number 122
_symmetry_space_group_name_Hall 'I -4 2bw'
_cell_length_a 5.865
_cell_length_b 5.865
_cell_length_c 9.320
_cell_angle_alpha 90.00
_cell_angle_beta 90.00
_cell_angle_gamma 90.00
loop_
_atom_site_label
_atom_site_type_symbol
_atom_site_fract_x
_atom_site_fract_y
_atom_site_fract_z
Tl1 Tl 0.000 0.000 0.000
Ru1 Ru 0.000 0.000 0.500
C1 C 0.001 0.250 0.625
```

## Properties
Its calculated volume is 321 Å³ per cell. The size of the total moment comes out at 0.00 Bohr magnetons per cell.

---

Version Q
Here is an optimized crystal structure of TlRuC2 from Alexandria via LeMat-Bulk. Energies are from PBE.

The structure in CIF format:
```
data_TlRuC2
_symmetry_space_group_name_H-M 'F m -3 m'
_symmetry_Int_Tables_number 225
_symmetry_space_group_name_Hall '-F 4 2 3'
_cell_length_a 5.799
_cell_length_b 5.799
_cell_length_c 5.799
_cell_angle_alpha 90.00
_cell_angle_beta 90.00
_cell_angle_gamma 90.00
loop_
_atom_site_label
_atom_site_type_symbol
_atom_site_fract_x
_atom_site_fract_y
_atom_site_fract_z
Tl1 Tl 0.000 0.000 0.000
Ru1 Ru 0.000 0.000 0.500
C1 C 0.250 0.250 0.250
```

## Properties
Its calculated volume is 195 Å³ per cell. The size of the total moment comes out at 0.00 Bohr magnetons per cell.

---

Short version: version P is the most stable of them.

---

Version P
Here is an optimized crystal structure of TlRu3C from Alexandria via LeMat-Bulk. Energies are from PBE.

The structure in CIF format:
```
data_TlRu3C
_symmetry_space_group_name_H-M 'P m -3 m'
_symmetry_Int_Tables_number 221
_symmetry_space_group_name_Hall '-P 4 2 3'
_cell_length_a 4.133
_cell_length_b 4.133
_cell_length_c 4.133
_cell_angle_alpha 90.00
_cell_angle_beta 90.00
_cell_angle_gamma 90.00
loop_
_atom_site_label
_atom_site_type_symbol
_atom_site_fract_x
_atom_site_fract_y
_atom_site_fract_z
Tl1 Tl 0.000 0.000 0.000
Ru1 Ru 0.000 0.500 0.500
C1 C 0.500 0.500 0.500
```

## Properties
Its calculated volume is 71 Å³ per cell. The size of the total moment comes out at 0.00 Bohr magnetons per cell.

---

Version Q
Here is an optimized crystal structure of TlRu3C from Alexandria via LeMat-Bulk. Energies are from PBE.

The structure in CIF format:
```
data_TlRu3C
_symmetry_space_group_name_H-M 'P m -3 m'
_symmetry_Int_Tables_number 221
_symmetry_space_group_name_Hall '-P 4 2 3'
_cell_length_a 5.030
_cell_length_b 5.030
_cell_length_c 5.030
_cell_angle_alpha 90.00
_cell_angle_beta 90.00
_cell_angle_gamma 90.00
loop_
_atom_site_label
_atom_site_type_symbol
_atom_site_fract_x
_atom_site_fract_y
_atom_site_fract_z
Tl1 Tl 0.000 0.000 0.000
Ru1 Ru 0.000 0.000 0.500
C1 C 0.500 0.500 0.500
```

## Properties
Its calculated volume is 127 Å³ per cell. The size of the total moment comes out at 5.50 Bohr magnetons per cell.

---

Short version: version P is the most stable of them.

---

Version P
Here is an optimized crystal structure of TmRu2C from Alexandria via LeMat-Bulk. Energies are from PBE.

The structure in CIF format:
```
data_TmRu2C
_symmetry_space_group_name_H-M 'C m m m'
_symmetry_Int_Tables_number 65
_symmetry_space_group_name_Hall '-C 2 2'
_cell_length_a 4.775
_cell_length_b 7.952
_cell_length_c 3.158
_cell_angle_alpha 90.00
_cell_angle_beta 90.00
_cell_angle_gamma 90.00
loop_
_atom_site_label
_atom_site_type_symbol
_atom_site_fract_x
_atom_site_fract_y
_atom_site_fract_z
Tm1 Tm 0.000 0.000 0.000
Ru1 Ru 0.000 0.336 0.500
C1 C 0.000 0.500 0.000
```

## Properties
Its calculated volume is 120 Å³ per cell. The size of the total moment comes out at 0.00 Bohr magnetons per cell.

---

Version Q
Here is an optimized crystal structure of TmRu2C from Alexandria via LeMat-Bulk. Energies are from PBE.

The structure in CIF format:
```
data_TmRu2C
_symmetry_space_group_name_H-M 'R -3 m'
_symmetry_Int_Tables_number 166
_symmetry_space_group_name_Hall '-R 3 2"'
_cell_length_a 3.2286
_cell_length_b 3.2286
_cell_length_c 20.1799
_cell_angle_alpha 90.00
_cell_angle_beta 90.00
_cell_angle_gamma 120.00
loop_
_atom_site_label
_atom_site_type_symbol
_atom_site_fract_x
_atom_site_fract_y
_atom_site_fract_z
Tm1 Tm 0.0000 0.0000 0.0000
Ru1 Ru 0.0000 0.0000 0.2171
C1 C 0.0000 0.0000 0.5000
```

## Properties
Its calculated volume is 182 Å³ per cell. The size of the total moment comes out at 0.00 Bohr magnetons per cell.

---

Short version: version P is the most stable of them.